Compound: BaPr2PdO5
Source: Alexandria
Functional: PBE
Structure: optimized geometry

Summary:
For the energy above the lowest structure with this stoichiometry, the calculation gives 0.1993 eV/atom. The theoretical density comes out at 6.9 g/cm3. The calculation puts the formation energy (no corrections) at -227.7 kJ/mol of atoms.

Unit cell a=7.8727 b=7.8727 c=7.8727 alpha=128.48 beta=128.48 gamma=75.84
Last column: nearest neighbours and their distance in Å.
Positions (direct):
Ba1 0.2500 0.2500 0.0000  10 O 3.09-3.11, 4 Pd 3.42
Ba2 0.7500 0.7500 0.0000  10 O 3.09-3.11, 4 Pd 3.42
Pr1 0.1722 0.6722 0.8444  8 O 2.35-2.62
Pr2 0.3278 0.1722 0.5000  8 O 2.35-2.62
Pr3 0.6722 0.8278 0.5000  8 O 2.35-2.62
Pr4 0.8278 0.3278 0.1556  8 O 2.35-2.62
Pd1 0.2500 0.7500 0.5000  4 O 2.11
Pd2 0.7500 0.2500 0.5000  4 O 2.11
O1 0.0000 0.0000 0.0000  4 Pr 2.53
O2 0.0202 0.2389 0.5000  1 Pd 2.11, 1 Pr 2.35
O3 0.2389 0.7389 0.2187  1 Pd 2.11, 1 Pr 2.35
O4 0.2611 0.4798 0.5000  1 Pd 2.11, 1 Pr 2.35
O5 0.4798 0.9798 0.2187  1 Pd 2.11, 1 Pr 2.35
O6 0.5000 0.5000 0.0000  4 Pr 2.53
O7 0.5202 0.0202 0.7813  1 Pd 2.11, 1 Pr 2.35
O8 0.7389 0.5202 0.5000  1 Pd 2.11, 1 Pr 2.35
O9 0.7611 0.2611 0.7813  1 Pd 2.11, 1 Pr 2.35
O10 0.9798 0.7611 0.5000  1 Pd 2.11, 1 Pr 2.35